Below is a geometry-optimized AcSbAu2 structure, with properties calculated at the PBE-GGA level.

Crystal system ... orthorhombic
Space-group type ... No. 59
E above lowest polymorph ... 0 meV per atom

Geometry as CIF:
```
data_AcSbAu2
_chemical_formula_sum 'Ac4 Sb4 Au8'
_space_group_name_H-M_alt 'P 1'
_space_group_IT_number 1
_space_group_name_Hall 'P 1'
_cell_length_a 4.877
_cell_length_b 7.392
_cell_length_c 11.555
_cell_angle_alpha 90.00
_cell_angle_beta 90.00
_cell_angle_gamma 90.00
loop_
_atom_site_label
_atom_site_fract_x
_atom_site_fract_y
_atom_site_fract_z
Ac1 0.250 0.250 0.077
Ac2 0.750 0.750 0.423
Ac3 0.750 0.750 0.923
Ac4 0.250 0.250 0.577
Sb1 0.750 0.250 0.354
Sb2 0.250 0.750 0.146
Sb3 0.250 0.750 0.646
Sb4 0.750 0.250 0.854
Au1 0.750 0.988 0.163
Au2 0.250 0.012 0.337
Au3 0.250 0.488 0.837
Au4 0.750 0.512 0.663
Au5 0.250 0.012 0.837
Au6 0.750 0.988 0.663
Au7 0.750 0.512 0.163
Au8 0.250 0.488 0.337
```


Below is a geometry-optimized AcSb2Au4 structure, with properties calculated at the PBE-GGA level.

Crystal system ... orthorhombic
Space-group type ... No. 62
E above lowest polymorph ... 0 meV per atom

Geometry as CIF:
```
data_AcSb2Au4
_chemical_formula_sum 'Ac4 Sb8 Au16'
_space_group_name_H-M_alt 'P 1'
_space_group_IT_number 1
_space_group_name_Hall 'P 1'
_cell_length_a 4.823
_cell_length_b 7.778
_cell_length_c 18.381
_cell_angle_alpha 90.00
_cell_angle_beta 90.00
_cell_angle_gamma 90.00
loop_
_atom_site_label
_atom_site_fract_x
_atom_site_fract_y
_atom_site_fract_z
Ac1 0.750 0.977 0.653
Ac2 0.250 0.023 0.347
Ac3 0.250 0.477 0.847
Ac4 0.750 0.523 0.153
Sb1 0.250 0.714 0.512
Sb2 0.750 0.286 0.488
Sb3 0.750 0.214 0.988
Sb4 0.250 0.786 0.012
Sb5 0.250 0.911 0.785
Sb6 0.750 0.089 0.215
Sb7 0.750 0.411 0.715
Sb8 0.250 0.589 0.285
Au1 0.250 0.282 0.663
Au2 0.750 0.718 0.337
Au3 0.750 0.782 0.837
Au4 0.250 0.218 0.163
Au5 0.250 0.670 0.668
Au6 0.750 0.330 0.332
Au7 0.750 0.170 0.832
Au8 0.250 0.830 0.168
Au9 0.250 0.080 0.536
Au10 0.750 0.920 0.464
Au11 0.750 0.580 0.964
Au12 0.250 0.420 0.036
Au13 0.250 0.404 0.423
Au14 0.750 0.596 0.577
Au15 0.750 0.904 0.077
Au16 0.250 0.096 0.923
```


Below is a geometry-optimized Ac3Sb4Au4 structure, with properties calculated at the PBE-GGA level.

Crystal system ... triclinic
Space-group type ... No. 2
E above lowest polymorph ... 0 meV per atom

Geometry as CIF:
```
data_Ac3Sb4Au4
_chemical_formula_sum 'Ac3 Sb4 Au4'
_space_group_name_H-M_alt 'P 1'
_space_group_IT_number 1
_space_group_name_Hall 'P 1'
_cell_length_a 4.615
_cell_length_b 4.782
_cell_length_c 14.602
_cell_angle_alpha 80.52
_cell_angle_beta 80.41
_cell_angle_gamma 90.01
loop_
_atom_site_label
_atom_site_fract_x
_atom_site_fract_y
_atom_site_fract_z
Ac1 0.127 0.643 0.713
Ac2 0.873 0.357 0.287
Ac3 0.000 0.000 0.000
Sb1 0.571 0.097 0.807
Sb2 0.251 0.251 0.498
Sb3 0.749 0.749 0.502
Sb4 0.429 0.903 0.193
Au1 0.628 0.547 0.906
Au2 0.372 0.453 0.094
Au3 0.310 0.810 0.382
Au4 0.690 0.190 0.618
```


Sequential density of states at the Fermi level output: 0.3530 0.3730 0.3054 states/eV per atom
Sequential calculated total energy output: -4.40 -4.07 -4.54 eV per atom